The following is a PBE-GGA calculation of crystalline BaTlRe2Te at its relaxed geometry, from the Alexandria database.

CIF file:
```
data_BaTlRe2Te
_symmetry_space_group_name_H-M 'P 1'
_symmetry_Int_Tables_number 1
_cell_length_a 5.006
_cell_length_b 6.030
_cell_length_c 5.006
_cell_angle_alpha 90.00
_cell_angle_beta 90.00
_cell_angle_gamma 90.00
loop_
_symmetry_equiv_pos_as_xyz
'x,y,z'
loop_
_atom_site_label
_atom_site_fract_x
_atom_site_fract_y
_atom_site_fract_z
Re1 0.000 0.000 0.500
Re2 0.500 0.000 0.000
Tl1 0.000 0.500 0.000
Te1 0.000 0.000 0.000
Ba1 0.500 0.500 0.500
```

Results
Density of states at the Fermi level in states/eV/atom: 1.068
Crystal system: tetragonal
SG: P4/mmm
V in A^3/atom: 30.22
E_tot in eV for the cell shown: -25.223

The following is a PBE-GGA calculation of crystalline K3Er2NpO6 at its relaxed geometry, from the Alexandria database.

CIF file:
```
data_K3Er2NpO6
_symmetry_space_group_name_H-M 'P 1'
_symmetry_Int_Tables_number 1
_cell_length_a 6.049
_cell_length_b 6.049
_cell_length_c 6.590
_cell_angle_alpha 98.80
_cell_angle_beta 98.80
_cell_angle_gamma 120.00
loop_
_symmetry_equiv_pos_as_xyz
'x,y,z'
loop_
_atom_site_label
_atom_site_fract_x
_atom_site_fract_y
_atom_site_fract_z
K1 0.168 0.832 0.500
K2 0.832 0.168 0.500
K3 0.500 0.500 0.500
Er1 0.333 0.667 0.000
Er2 0.667 0.333 0.000
Np1 0.000 0.000 0.000
O1 0.938 0.598 0.815
O2 0.722 0.722 0.185
O3 0.062 0.402 0.185
O4 0.598 0.938 0.815
O5 0.278 0.278 0.815
O6 0.402 0.062 0.185
```

Results
Density of states at the Fermi level in states/eV/atom: 0.600
Crystal system: monoclinic
SG: C2/m
V in A^3/atom: 16.57
E_tot in eV for the cell shown: -86.023

The following is a PBE-GGA calculation of crystalline Ho2Ni5Ge3 at its relaxed geometry, from the Alexandria database.

CIF file:
```
data_Ho2Ni5Ge3
_symmetry_space_group_name_H-M 'P 1'
_symmetry_Int_Tables_number 1
_cell_length_a 3.859
_cell_length_b 3.859
_cell_length_c 10.750
_cell_angle_alpha 90.00
_cell_angle_beta 90.00
_cell_angle_gamma 90.00
loop_
_symmetry_equiv_pos_as_xyz
'x,y,z'
loop_
_atom_site_label
_atom_site_fract_x
_atom_site_fract_y
_atom_site_fract_z
Ho1 0.500 0.000 0.207
Ho2 0.000 0.500 0.793
Ni1 0.500 0.500 0.000
Ni2 0.000 0.000 0.000
Ni3 0.500 0.000 0.864
Ni4 0.000 0.500 0.136
Ni5 0.500 0.500 0.500
Ge1 0.500 0.000 0.652
Ge2 0.000 0.500 0.348
Ge3 0.000 0.000 0.500
```

Results
Density of states at the Fermi level in states/eV/atom: 0.346
Crystal system: tetragonal
SG: P-4m2
V in A^3/atom: 16.01
ΔE_f in meV per atom: -391